First-principles (PBE) data for a geometry-optimized Na2Sr8Tl structure, as listed in Alexandria.

a b c (Å): 10.9561 10.9561 8.0308
angles (deg): 95.73 95.73 32.88
Last column: nearest neighbours and their distance in Å.
Element x y z (fractional)
Na1 0.1594 0.1594 0.1709  8 Sr 3.70-4.03
Na2 0.8406 0.8406 0.8291  8 Sr 3.70-4.03
Sr1 0.0287 0.0287 0.7718  2 Tl 3.68, 3 Sr 3.98-4.10, 2 Na 4.00-4.03
Sr2 0.2151 0.2151 0.6306  1 Na 3.76, 6 Sr 4.10-4.19
Sr3 0.3407 0.3407 0.0810  1 Tl 3.48, 2 Na 3.70
Sr4 0.4127 0.4127 0.5964  1 Tl 3.55
Sr5 0.5873 0.5873 0.4036  1 Tl 3.55
Sr6 0.6593 0.6593 0.9190  1 Tl 3.48, 2 Na 3.70
Sr7 0.7849 0.7849 0.3694  1 Na 3.76, 6 Sr 4.10-4.19
Sr8 0.9713 0.9713 0.2282  2 Tl 3.68, 3 Sr 3.98-4.10, 2 Na 4.00-4.03
Tl1 0.5000 0.5000 0.0000  8 Sr 3.48-3.68

Values from the calculation:
Relative energy among the computed polymorphs = 0.0 meV per atom
Fermi-level density of states = 10.8 states/eV/f.u.
ΔH_f (0 K) = -0.06 eV per atom

***

First-principles (PBE) data for a geometry-optimized CaHoCu structure, as listed in Alexandria.

a b c (Å): 6.8033 6.8033 6.8033
angles (deg): 149.83 149.83 43.19
Last column: nearest neighbours and their distance in Å.
Element x y z (fractional)
Ca1 0.0000 0.0000 0.0000  4 Cu 3.17, 1 Ho 3.40, 4 Ca 3.54
Ho1 0.2687 0.2687 0.0000  4 Cu 2.90
Cu1 0.6534 0.6534 0.0000  4 Ho 2.90, 4 Ca 3.17

Values from the calculation:
Fermi-level density of states = 2.6 states/eV/f.u.
ΔH_f (0 K) = -0.08 eV per atom

***

First-principles (PBE) data for a geometry-optimized Ho6AlRh2 structure, as listed in Alexandria.

a b c (Å): 8.3879 8.3879 8.3879
angles (deg): 112.78 111.51 104.25
Last column: nearest neighbours and their distance in Å.
Element x y z (fractional)
Ho1 0.0429 0.2391 0.8038  1 Rh 2.75, 1 Al 3.08
Ho2 0.1801 0.2856 0.4657  3 Rh 2.96-2.99, 1 Al 3.15
Ho3 0.1801 0.7144 0.8945  3 Rh 2.96-2.99, 1 Al 3.15
Ho4 0.3296 0.0242 0.6946  3 Rh 2.71-3.00
Ho5 0.3296 0.6351 0.3054  3 Rh 2.71-3.00
Ho6 0.4352 0.2391 0.1962  1 Rh 2.75, 1 Al 3.08
Ho7 0.5648 0.7609 0.8038  1 Rh 2.75, 1 Al 3.08
Ho8 0.6704 0.3649 0.6946  3 Rh 2.71-3.00
Ho9 0.6704 0.9758 0.3054  3 Rh 2.71-3.00
Ho10 0.8199 0.2856 0.1055  3 Rh 2.96-2.99, 1 Al 3.15
Ho11 0.8199 0.7144 0.5343  3 Rh 2.96-2.99, 1 Al 3.15
Ho12 0.9571 0.7609 0.1962  1 Rh 2.75, 1 Al 3.08
Al1 0.0000 0.0000 0.0000  8 Ho 3.08-3.15, 2 Rh 3.08
Al2 0.5000 0.5000 0.0000  12 Ho 3.26-3.62
Rh1 0.1337 0.6337 0.5000  6 Ho 2.71-2.96, 1 Rh 2.75
Rh2 0.3266 0.0000 0.3266  8 Ho 2.75-3.00, 1 Al 3.08
Rh3 0.6734 0.0000 0.6734  8 Ho 2.75-3.00, 1 Al 3.08
Rh4 0.8663 0.3663 0.5000  6 Ho 2.71-2.96, 1 Rh 2.75

Values from the calculation:
Fermi-level density of states = 6.8 states/eV/f.u.
ΔH_f (0 K) = -0.57 eV per atom

***

First-principles (PBE) data for a geometry-optimized ErFeGe2Rh structure, as listed in Alexandria.

a b c (Å): 5.7855 5.7855 5.7855
angles (deg): 138.56 138.56 60.05
Last column: nearest neighbours and their distance in Å.
Element x y z (fractional)
Er1 0.0000 0.0000 0.0000  8 Ge 3.16, 4 Rh 3.23, 4 Fe 3.23
Fe1 0.2500 0.7500 0.5000  4 Ge 2.39
Ge1 0.3739 0.3739 0.0000  2 Fe 2.39, 2 Rh 2.39, 1 Ge 2.53
Ge2 0.6261 0.6261 0.0000  2 Fe 2.39, 2 Rh 2.39, 1 Ge 2.53
Rh1 0.7500 0.2500 0.5000  4 Ge 2.39

Values from the calculation:
Fermi-level density of states = 2.7 states/eV/f.u.
ΔH_f (0 K) = -0.65 eV per atom

***

First-principles (PBE) data for a geometry-optimized Ta2GeSb2 structure, as listed in Alexandria.

a b c (Å): 7.4386 7.4386 7.4386
angles (deg): 148.62 148.62 44.97
Last column: nearest neighbours and their distance in Å.
Element x y z (fractional)
Ta1 0.0994 0.0994 0.0000  1 Ta 2.73, 4 Sb 2.89
Ta2 0.9006 0.9006 0.0000  1 Ta 2.73, 4 Sb 2.89
Ge1 0.5000 0.5000 0.0000  8 Ta 3.16
Sb1 0.2500 0.7500 0.5000  4 Sb 2.84, 4 Ta 2.89
Sb2 0.7500 0.2500 0.5000  4 Sb 2.84, 4 Ta 2.89

Values from the calculation:
Energy relative to the elements, uncorrected = 287 kJ/mol of formula units
Relative energy among the computed polymorphs = 446.6 meV per atom
Fermi-level density of states = 3.7 states/eV/f.u.

***

First-principles (PBE) data for a geometry-optimized Ca3Sb2O7 structure, as listed in Alexandria.

a b c (Å): 10.4025 10.4025 5.9444
angles (deg): 90.00 90.00 32.08
Last column: nearest neighbours and their distance in Å.
Element x y z (fractional)
Ca1 0.0423 0.5717 0.6161  4 O 2.29-2.40
Ca2 0.2301 0.7699 0.5000  4 O 2.35-2.44
Ca3 0.4283 0.9577 0.6161  4 O 2.29-2.40
Ca4 0.5717 0.0423 0.1161  4 O 2.29-2.40
Ca5 0.7699 0.2301 0.0000  4 O 2.35-2.44
Ca6 0.9577 0.4283 0.1161  4 O 2.29-2.40
Sb1 0.1524 0.6422 0.0561  6 O 2.10-2.22
Sb2 0.3578 0.8476 0.0561  6 O 2.10-2.22
Sb3 0.6422 0.1524 0.5561  6 O 2.10-2.22
Sb4 0.8476 0.3578 0.5561  6 O 2.10-2.22
O1 0.0313 0.1283 0.2509  2 Sb 2.14-2.22
O2 0.0528 0.3514 0.5100  1 Sb 2.10, 2 Ca 2.29-2.31
O3 0.1283 0.0313 0.7509  2 Sb 2.14-2.22
O4 0.3189 0.4232 0.3472  2 Sb 2.12-2.18
O5 0.3514 0.0528 0.0100  1 Sb 2.10, 2 Ca 2.29-2.31
O6 0.3793 0.6207 0.1152  2 Sb 2.20, 2 Ca 2.35-2.44
O7 0.4232 0.3189 0.8472  2 Sb 2.12-2.18
O8 0.5768 0.6811 0.3472  2 Sb 2.12-2.18
O9 0.6207 0.3793 0.6152  2 Sb 2.20, 2 Ca 2.35-2.44
O10 0.6486 0.9472 0.5100  1 Sb 2.10, 2 Ca 2.29-2.31
O11 0.6811 0.5768 0.8472  2 Sb 2.12-2.18
O12 0.8717 0.9687 0.2509  2 Sb 2.14-2.22
O13 0.9472 0.6486 0.0100  1 Sb 2.10, 2 Ca 2.29-2.31
O14 0.9687 0.8717 0.7509  2 Sb 2.14-2.22

Values from the calculation:
Energy relative to the elements, uncorrected = -2510 kJ/mol of formula units
Fermi-level density of states = 2.0 states/eV/f.u.

***

First-principles (PBE) data for a geometry-optimized ErPaAl2 structure, as listed in Alexandria.

a b c (Å): 4.6244 4.6244 4.2357
angles (deg): 90.00 90.00 90.00
Last column: nearest neighbours and their distance in Å.
Element x y z (fractional)
Er1 0.0000 0.0000 0.0000  8 Al 3.14, 4 Pa 3.27
Pa1 0.5000 0.5000 0.0000  8 Al 3.14, 4 Er 3.27
Al1 0.0000 0.5000 0.5000  4 Pa 3.14, 4 Er 3.14, 4 Al 3.27
Al2 0.5000 0.0000 0.5000  4 Pa 3.14, 4 Er 3.14, 4 Al 3.27

Values from the calculation:
Relative energy among the computed polymorphs = 94.9 meV per atom
Fermi-level density of states = 5.1 states/eV/f.u.
ΔH_f (0 K) = -0.15 eV per atom

***

First-principles (PBE) data for a geometry-optimized BaU4Co3S12 structure, as listed in Alexandria.

a b c (Å): 8.3287 8.3287 8.3287
angles (deg): 109.47 109.47 109.47
Last column: nearest neighbours and their distance in Å.
Element x y z (fractional)
Ba1 0.0000 0.0000 0.0000  12 S 3.48
U1 0.0000 0.0000 0.5000  6 S 2.67
U2 0.0000 0.5000 0.0000  6 S 2.67
U3 0.5000 0.0000 0.0000  6 S 2.67
U4 0.5000 0.5000 0.5000  6 S 2.67
Co1 0.0000 0.5000 0.5000  4 S 2.25
Co2 0.5000 0.0000 0.5000  4 S 2.25
Co3 0.5000 0.5000 0.0000  4 S 2.25
S1 0.1566 0.4831 0.3265  1 Co 2.25
S2 0.1566 0.8301 0.6735  1 Co 2.25
S3 0.1699 0.3265 0.8434  1 Co 2.25
S4 0.3265 0.1566 0.4831  1 Co 2.25
S5 0.3265 0.8434 0.1699  1 Co 2.25
S6 0.4831 0.3265 0.1566  1 Co 2.25
S7 0.5169 0.6735 0.8434  1 Co 2.25
S8 0.6735 0.1566 0.8301  1 Co 2.25
S9 0.6735 0.8434 0.5169  1 Co 2.25
S10 0.8301 0.6735 0.1566  1 Co 2.25
S11 0.8434 0.1699 0.3265  1 Co 2.25
S12 0.8434 0.5169 0.6735  1 Co 2.25

Values from the calculation:
Energy relative to the elements, uncorrected = -1818 kJ/mol of formula units
Fermi-level density of states = 25.0 states/eV/f.u.

***

First-principles (PBE) data for a geometry-optimized LiHoIn2 structure, as listed in Alexandria.

a b c (Å): 3.5319 3.5319 7.3103
angles (deg): 90.00 90.00 90.00
Last column: nearest neighbours and their distance in Å.
Element x y z (fractional)
Li1 0.0000 0.0000 0.0000  8 In 2.94
Ho1 0.0000 0.0000 0.5000  8 In 3.26, 4 Ho 3.53
In1 0.5000 0.5000 0.2128  4 Li 2.94, 1 In 3.11, 4 Ho 3.26
In2 0.5000 0.5000 0.7872  4 Li 2.94, 1 In 3.11, 4 Ho 3.26

Values from the calculation:
Relative energy among the computed polymorphs = 0.8 meV per atom
Fermi-level density of states = 1.7 states/eV/f.u.
ΔH_f (0 K) = -0.39 eV per atom

***

First-principles (PBE) data for a geometry-optimized NaBeH structure, as listed in Alexandria.

a b c (Å): 4.0445 4.6403 5.3299
angles (deg): 64.20 80.01 89.99
Last column: nearest neighbours and their distance in Å.
Element x y z (fractional)
Na1 0.0000 0.0000 0.0000  2 H 2.54-2.55
Na2 0.4157 0.3516 0.2981  2 H 2.56-2.58
Be1 0.4726 0.6726 0.6567  2 H 1.47
Be2 0.9690 0.6809 0.6401  2 H 1.47
H1 0.7215 0.4452 0.6460  2 Be 1.47
H2 0.7227 0.9134 0.6404  2 Be 1.47

Values from the calculation:
Relative energy among the computed polymorphs = 44.0 meV per atom
Fermi-level density of states = 0.3 states/eV/f.u.

***

First-principles (PBE) data for a geometry-optimized Rb6H5Cl structure, as listed in Alexandria.

a b c (Å): 7.5557 7.5557 7.5408
angles (deg): 99.57 99.57 120.05
Last column: nearest neighbours and their distance in Å.
Element x y z (fractional)
Rb1 0.0632 0.4140 0.7447  5 H 2.96-3.12, 1 Cl 3.22
Rb2 0.2392 0.2392 0.2650  5 H 2.92-3.10, 1 Cl 3.24
Rb3 0.4140 0.0632 0.7447  5 H 2.96-3.12, 1 Cl 3.22
Rb4 0.5860 0.9368 0.2553  5 H 2.96-3.12, 1 Cl 3.22
Rb5 0.7608 0.7608 0.7350  5 H 2.92-3.10, 1 Cl 3.24
Rb6 0.9368 0.5860 0.2553  5 H 2.96-3.12, 1 Cl 3.22
H1 0.0000 0.0000 0.5000  6 Rb 2.92-3.12
H2 0.1670 0.8330 0.0000  6 Rb 3.04-3.10
H3 0.3340 0.6660 0.5000  6 Rb 2.96-3.12
H4 0.6660 0.3340 0.5000  6 Rb 2.96-3.12
H5 0.8330 0.1670 0.0000  6 Rb 3.04-3.10
Cl1 0.5000 0.5000 0.0000  6 Rb 3.22-3.24

Values from the calculation:
Fermi-level density of states = 0.0 states/eV/f.u.
VASP energy = -2.49 eV/atom

***

First-principles (PBE) data for a geometry-optimized ZnCo2Te structure, as listed in Alexandria.

a b c (Å): 5.1795 5.1795 5.1795
angles (deg): 45.60 45.60 45.60
Last column: nearest neighbours and their distance in Å.
Element x y z (fractional)
Zn1 0.0000 0.0000 0.0000  3 Co 2.50
Co1 0.2187 0.2187 0.2187  3 Co 2.41, 3 Te 2.65
Co2 0.5994 0.5994 0.5994  3 Co 2.41, 3 Zn 2.50, 1 Te 2.68
Te1 0.7923 0.7923 0.7923  4 Co 2.65-2.68, 4 Zn 2.89-2.90

Values from the calculation:
Energy relative to the elements, uncorrected = 78 kJ/mol of formula units
Relative energy among the computed polymorphs = 12.2 meV per atom
Fermi-level density of states = 4.6 states/eV/f.u.